{
  "formula": "CrNiHg2O",
  "functional": "GGA+U",
  "state": "relaxed",
  "lattice_angstrom": [[-4.225, 3.012, 1.522], [0.847, -1.415, 5.150], [2.114, 2.759, 0.410]],
  "species": ["Ni", "Hg", "Hg", "O", "Cr"],
  "frac_coords": [[0.000, 0.000, 0.500], [0.000, 0.500, 0.000], [0.500, 0.000, 0.000], [0.000, 0.000, 0.000], [0.500, 0.500, 0.500]],
  "total_energy_ev_per_cell": -14.38,
  "n_ef_per_ev_fu": 1.99,
  "space_group": "No. 123",
  "magmom_total_mub_per_fu": 6.46,
  "vol_a3_per_cell": 102.3
}